[1]
A relaxed TbPaAlRe crystal, computed with PBE.

Values from the calculation:
D(E_F)	0.32	states/eV per atom
energy of formation from the pure elements	-11.9	kJ/mol of formula units
space-group type	F-43m (216)
size of the total moment	0.0	μB/f.u.

```
data_TbPaAlRe
_space_group_name_H-M_alt 'P 1'
_space_group_IT_number 1
_cell_length_a 6.8455
_cell_length_b 6.8455
_cell_length_c 6.8455
_cell_angle_alpha 90.00
_cell_angle_beta 90.00
_cell_angle_gamma 90.00
loop_
_space_group_symop_operation_xyz
'x,y,z'
loop_
_atom_site_label
_atom_site_type_symbol
_atom_site_fract_x
_atom_site_fract_y
_atom_site_fract_z
_atom_site_occupancy
Tb1 Tb 0.0000 0.0000 0.0000 1
Tb2 Tb 0.0000 0.5000 0.5000 1
Tb3 Tb 0.5000 0.0000 0.5000 1
Tb4 Tb 0.5000 0.5000 0.0000 1
Pa1 Pa 0.2500 0.2500 0.7500 1
Pa2 Pa 0.2500 0.7500 0.2500 1
Pa3 Pa 0.7500 0.2500 0.2500 1
Pa4 Pa 0.7500 0.7500 0.7500 1
Al1 Al 0.2500 0.2500 0.2500 1
Al2 Al 0.2500 0.7500 0.7500 1
Al3 Al 0.7500 0.2500 0.7500 1
Al4 Al 0.7500 0.7500 0.2500 1
Re1 Re 0.0000 0.0000 0.5000 1
Re2 Re 0.0000 0.5000 0.0000 1
Re3 Re 0.5000 0.0000 0.0000 1
Re4 Re 0.5000 0.5000 0.5000 1
```

***

[2]
A relaxed AcLa5InHg2 crystal, computed with PBE.

Values from the calculation:
D(E_F)	1.37	states/eV per atom
energy of formation from the pure elements	-188.5	kJ/mol of formula units
space-group type	P4/mbm (127)
size of the total moment	0.0	μB/f.u.

```
data_AcLa5InHg2
_space_group_name_H-M_alt 'P 1'
_space_group_IT_number 1
_cell_length_a 7.7571
_cell_length_b 7.7571
_cell_length_c 10.5497
_cell_angle_alpha 90.00
_cell_angle_beta 90.00
_cell_angle_gamma 90.00
loop_
_space_group_symop_operation_xyz
'x,y,z'
loop_
_atom_site_label
_atom_site_type_symbol
_atom_site_fract_x
_atom_site_fract_y
_atom_site_fract_z
_atom_site_occupancy
Ac1 Ac 0.0000 0.0000 0.0000 1
Ac2 Ac 0.5000 0.5000 0.0000 1
La1 La 0.0000 0.0000 0.5000 1
La2 La 0.1881 0.3119 0.2543 1
La3 La 0.1881 0.3119 0.7457 1
La4 La 0.3119 0.8119 0.2543 1
La5 La 0.3119 0.8119 0.7457 1
La6 La 0.5000 0.5000 0.5000 1
La7 La 0.6881 0.1881 0.2543 1
La8 La 0.6881 0.1881 0.7457 1
La9 La 0.8119 0.6881 0.2543 1
La10 La 0.8119 0.6881 0.7457 1
In1 In 0.0000 0.5000 0.0000 1
In2 In 0.5000 0.0000 0.0000 1
Hg1 Hg 0.1275 0.6275 0.5000 1
Hg2 Hg 0.3725 0.1275 0.5000 1
Hg3 Hg 0.6275 0.8725 0.5000 1
Hg4 Hg 0.8725 0.3725 0.5000 1
```

***

[3]
A relaxed Li6RhAu2 crystal, computed with PBE.

Values from the calculation:
D(E_F)	0.30	states/eV per atom
energy of formation from the pure elements	-303.6	kJ/mol of formula units
space-group type	C2/m (12)
size of the total moment	0.3	μB/f.u.

```
data_Li6RhAu2
_space_group_name_H-M_alt 'P 1'
_space_group_IT_number 1
_cell_length_a 7.4111
_cell_length_b 7.4111
_cell_length_c 2.7407
_cell_angle_alpha 90.43
_cell_angle_beta 90.43
_cell_angle_gamma 60.01
loop_
_space_group_symop_operation_xyz
'x,y,z'
loop_
_atom_site_label
_atom_site_type_symbol
_atom_site_fract_x
_atom_site_fract_y
_atom_site_fract_z
_atom_site_occupancy
Li1 Li 0.1726 0.5000 0.0038 1
Li2 Li 0.1727 0.8273 0.0000 1
Li3 Li 0.5000 0.1726 0.0038 1
Li4 Li 0.5000 0.8274 0.9962 1
Li5 Li 0.8273 0.1727 0.0000 1
Li6 Li 0.8274 0.5000 0.9962 1
Rh1 Rh 0.5000 0.5000 0.5000 1
Au1 Au 0.1667 0.1667 0.5005 1
Au2 Au 0.8333 0.8333 0.4995 1
```